Record 1
Below is BeCdPt2 after structural relaxation, with properties calculated at the GGA-PBE level.

extended XYZ file:
```
4
Lattice="-5.2763 -4.8737 -2.2502 -2.6317 -7.0515 0.0734 2.8707 6.3676 2.8049" Properties=species:S:1:pos:R:3 pbc="T T T"
Be -4.3378 -6.5413 -1.1940
Pt -2.5317 -1.2571 -0.0884
Pt -7.7158 -11.6353 -2.1239
Cd -2.3140 -4.0117 0.7693
```

Summary:
- Polymorph energy (0 for the lowest one): 57 kJ/mol of formula units
- Space-group type: Imm2
- Calculated total energy: -0.3376 Ry/atom
- E_form: -412 meV/atom

=====

Record 2
Below is Sr2YP after structural relaxation, with properties calculated at the GGA-PBE level.

extended XYZ file:
```
8
Lattice="10.9610 0.0000 0.0000 0.0000 10.9610 0.0000 5.4805 5.4805 2.7121" Properties=species:S:1:pos:R:3 pbc="T T T"
P 5.4805 10.9610 1.3560
P 5.4805 5.4805 0.0000
Sr 4.2686 8.2208 0.6780
Sr 8.2208 9.7492 2.0341
Sr 13.7013 12.1729 2.0341
Sr 6.6924 2.7403 0.6780
Y 10.9610 5.4805 1.3560
Y 0.0000 0.0000 0.0000
```

Summary:
- Space-group type: I-42d
- Calculated total energy: -0.3069 Ry/atom
- E_form: -367 meV/atom

=====

Record 3
Below is CdIrAu2 after structural relaxation, with properties calculated at the GGA-PBE level.

extended XYZ file:
```
8
Lattice="-1.2793 -2.9426 2.2988 1.4178 -2.6307 -2.5785 8.6742 -2.8115 4.6169" Properties=species:S:1:pos:R:3 pbc="T T T"
Cd 0.0693 -2.7867 -0.1399
Cd 5.0806 -4.1145 0.9493
Au 1.5358 -2.8949 2.2874
Au 6.6384 -7.0068 3.1969
Au 6.5460 -4.1772 3.3788
Au 2.9052 -2.6909 -0.1888
Ir 0.0000 0.0000 0.0000
Ir 3.7321 -4.2704 3.3879
```

Summary:
- Space-group type: I-42d
- Calculated total energy: -0.2696 Ry/atom
- E_form: 415 meV/atom

=====

Record 4
Below is Sr2TaCrN5 after structural relaxation, with properties calculated at the GGA-PBE level.

extended XYZ file:
```
18
Lattice="3.2760 0.0000 0.0000 -1.6380 7.3545 0.0000 0.0000 0.0000 10.9270" Properties=species:S:1:pos:R:3 pbc="T T T"
Ta 1.6380 4.3585 5.8993
Ta 0.0000 2.9959 0.4358
Sr 0.0000 2.0179 3.6566
Sr 1.6380 5.6232 1.8953
Sr 0.0000 1.7313 7.3588
Sr 1.6380 5.3365 9.1202
N 1.6380 2.9102 1.6411
N 0.0000 7.3203 3.2334
N 0.0000 0.5638 0.0340
N 0.0000 4.8205 4.2667
N 0.0000 4.8466 0.0930
N 1.6380 2.5340 9.7302
N 1.6380 6.7907 5.4975
N 0.0000 4.4443 7.1046
N 1.6380 0.0341 8.6969
N 1.6380 2.5079 5.5566
Cr 1.6380 0.8340 10.1382
Cr 0.0000 6.5205 4.6746
```

Summary:
- Space-group type: Cmc2_1
- Calculated total energy: -0.6046 Ry/atom

=====

Record 5
Below is Nb3CdAs after structural relaxation, with properties calculated at the GGA-PBE level.

extended XYZ file:
```
5
Lattice="-1.1646 4.0939 2.6082 -4.5729 -0.0255 -2.0018 -1.6284 -2.8563 3.7562" Properties=species:S:1:pos:R:3 pbc="T T T"
Nb -2.2864 -0.0128 -1.0009
Nb -0.5823 2.0470 1.3041
Nb -0.8142 -1.4281 1.8781
As -3.6829 0.6061 2.1813
Cd 0.0000 0.0000 0.0000
```

Summary:
- Polymorph energy (0 for the lowest one): 617 kJ/mol of formula units
- Space-group type: Pm-3m
- Calculated total energy: -0.3869 Ry/atom
- E_form: 1890 meV/atom

=====

Record 6
Below is LaNdMg2 after structural relaxation, with properties calculated at the GGA-PBE level.

extended XYZ file:
```
4
Lattice="3.5412 0.0000 0.0000 1.7706 3.0668 0.0000 1.7706 1.0223 11.3316" Properties=species:S:1:pos:R:3 pbc="T T T"
Mg 1.7706 1.0223 8.4552
Mg 1.7706 1.0223 2.8770
Nd 3.5412 2.0445 5.6954
La 5.3118 3.0668 11.3014
```

Summary:
- Polymorph energy (0 for the lowest one): 65 kJ/mol of formula units
- Space-group type: R3m
- Calculated total energy: -0.2331 Ry/atom
- E_form: 50 meV/atom

=====

no.,volume (Å³ per cell)
1,62.0
2,325.8
3,153.2
4,263.3
5,124.4
6,123.1